Record 1
Crystalline Tl5Ga2Hg4 at its relaxed geometry, computed with PBE-GGA.

Cell lengths 12.4350, 12.4350, 7.3438 Å; angles 97.83, 97.83, 16.00 degrees
Fractional positions:
Tl1 0.0000 0.0000 0.0000
Tl2 0.2965 0.2965 0.3859
Tl3 0.3968 0.3968 0.7300
Tl4 0.6032 0.6032 0.2700
Tl5 0.7035 0.7035 0.6141
Ga1 0.2808 0.2808 0.9019
Ga2 0.7192 0.7192 0.0981
Hg1 0.1337 0.1337 0.8983
Hg2 0.4520 0.4520 0.3553
Hg3 0.5480 0.5480 0.6447
Hg4 0.8663 0.8663 0.1017

Calculated values
final energy	-1.69	eV per atom
magnetization	0.0	μB/f.u.



Record 2
Crystalline Tl6GaHg8 at its relaxed geometry, computed with PBE-GGA.

Cell lengths 7.8584, 7.8584, 7.8584 Å; angles 71.86, 71.86, 71.86 degrees
Fractional positions:
Tl1 0.1742 0.4200 0.6245
Tl2 0.3755 0.8258 0.5800
Tl3 0.4200 0.6245 0.1742
Tl4 0.5800 0.3755 0.8258
Tl5 0.6245 0.1742 0.4200
Tl6 0.8258 0.5800 0.3755
Ga1 0.0000 0.0000 0.0000
Hg1 0.0546 0.8770 0.3649
Hg2 0.1230 0.6351 0.9454
Hg3 0.2385 0.2385 0.2385
Hg4 0.3649 0.0546 0.8770
Hg5 0.6351 0.9454 0.1230
Hg6 0.7615 0.7615 0.7615
Hg7 0.8770 0.3649 0.0546
Hg8 0.9454 0.1230 0.6351

Calculated values
final energy	-1.29	eV per atom
magnetization	0.0	μB/f.u.



Record 3
Crystalline Tl4Ga4Hg at its relaxed geometry, computed with PBE-GGA.

Cell lengths 9.0891, 9.0891, 5.6212 Å; angles 90.00, 90.00, 90.00 degrees
Fractional positions:
Tl1 0.0863 0.8315 0.1319
Tl2 0.1685 0.5863 0.6319
Tl3 0.3315 0.9137 0.6319
Tl4 0.4137 0.6685 0.1319
Tl5 0.5863 0.3315 0.8681
Tl6 0.6685 0.0863 0.3681
Tl7 0.8315 0.4137 0.3681
Tl8 0.9137 0.1685 0.8681
Ga1 0.0752 0.1459 0.3566
Ga2 0.1459 0.4248 0.1434
Ga3 0.3541 0.0752 0.1434
Ga4 0.4248 0.3541 0.3566
Ga5 0.5752 0.6459 0.6434
Ga6 0.6459 0.9248 0.8566
Ga7 0.8541 0.5752 0.8566
Ga8 0.9248 0.8541 0.6434
Hg1 0.2500 0.2500 0.7500
Hg2 0.7500 0.7500 0.2500

Calculated values
final energy	-2.35	eV per atom
magnetization	0.0	μB/f.u.